The following is a DFT calculation (PBE) of an optimized crystal structure of NaInSn2S4.

Summary:
- electronic total energy (eV per atom) = -4.15
- crystal system = orthorhombic
- uncorrected formation energy (eV/atom) = -0.58
- total moment (μB/cell) = 0.00

CIF file:
```
data_NaInSn2S4
_chemical_formula_sum 'Na2 In2 Sn4 S8'
_symmetry_space_group_name_H-M 'P m n 21'
_symmetry_Int_Tables_number 31
_cell_length_a 8.5280
_cell_length_b 6.7200
_cell_length_c 7.8476
_cell_angle_alpha 90.00
_cell_angle_beta 90.00
_cell_angle_gamma 90.00
loop_
_symmetry_equiv_pos_as_xyz
'x,y,z'
'-x+1/2,-y,z+1/2'
'-x,y,z'
'x+1/2,-y,z+1/2'
loop_
_atom_site_label
_atom_site_fract_x
_atom_site_fract_y
_atom_site_fract_z
Na1 0.0000 0.2291 0.0000
In1 0.0000 0.7510 0.5144
Sn1 0.2442 0.7705 0.9923
S1 0.0000 0.0884 0.6634
S2 0.0000 0.8598 0.2077
S3 0.2370 0.5784 0.6221
```